[1]
Below is a relaxed structure of TeIr2Se, with properties calculated at the PBE-GGA level.

Cell: 5.716 6.174 8.584 Å, 90.00 90.00 90.00°
Fractional coordinates of all 16 atoms:
Te 0.000 0.000 0.000
Te 0.000 0.500 0.500
Te 0.500 0.000 0.500
Te 0.500 0.500 0.000
Ir 0.000 0.250 0.250
Ir 0.000 0.250 0.750
Ir 0.000 0.750 0.250
Ir 0.000 0.750 0.750
Ir 0.500 0.250 0.250
Ir 0.500 0.250 0.750
Ir 0.500 0.750 0.250
Ir 0.500 0.750 0.750
Se 0.000 0.000 0.500
Se 0.000 0.500 0.000
Se 0.500 0.000 0.000
Se 0.500 0.500 0.500

total energy: -89.09 eV per cell
polymorph energy (0 for the lowest one): 0.4977 eV per atom
magnetic moment: 0.0 μB per cell
uncorrected formation energy: 0.52 eV/atom
calculated volume: 18.9 A^3/atom

[2]
Below is a relaxed structure of Rb2PaTcO6, with properties calculated at the PBE-GGA level.

Cell: 5.918 5.918 4.406 Å, 90.00 90.00 90.00°
Fractional coordinates of all 10 atoms:
Rb 0.000 0.500 0.000
Rb 0.500 0.000 0.000
Pa 0.000 0.000 0.508
Tc 0.500 0.500 0.461
O 0.000 0.000 0.009
O 0.263 0.263 0.510
O 0.263 0.737 0.510
O 0.500 0.500 0.052
O 0.737 0.263 0.510
O 0.737 0.737 0.510

total energy: -74.04 eV per cell
magnetic moment: 2.0 μB per cell
uncorrected formation energy: -2.25 eV/atom
calculated volume: 15.4 A^3/atom

[3]
Below is a relaxed structure of PaNb2C, with properties calculated at the PBE-GGA level.

Cell: 3.142 3.142 24.691 Å, 90.00 90.00 120.00°
Fractional coordinates of all 12 atoms:
Pa 0.000 0.000 0.000
Pa 0.333 0.667 0.667
Pa 0.667 0.333 0.333
Nb 0.000 0.000 0.117
Nb 0.000 0.000 0.883
Nb 0.333 0.667 0.550
Nb 0.333 0.667 0.784
Nb 0.667 0.333 0.216
Nb 0.667 0.333 0.450
C 0.000 0.000 0.500
C 0.333 0.667 0.167
C 0.667 0.333 0.833

total energy: -116.42 eV per cell
magnetic moment: 1.2 μB per cell
formation energy: 0.013 eV per atom
calculated volume: 17.6 A^3/atom

[4]
Below is a relaxed structure of MgNiSbPt, with properties calculated at the PBE-GGA level.

Cell: 6.416 6.416 6.416 Å, 90.00 90.00 90.00°
Fractional coordinates of all 16 atoms:
Mg 0.000 0.000 0.000
Mg 0.000 0.500 0.500
Mg 0.500 0.000 0.500
Mg 0.500 0.500 0.000
Ni 0.250 0.250 0.250
Ni 0.250 0.750 0.750
Ni 0.750 0.250 0.750
Ni 0.750 0.750 0.250
Sb 0.000 0.000 0.500
Sb 0.000 0.500 0.000
Sb 0.500 0.000 0.000
Sb 0.500 0.500 0.500
Pt 0.250 0.250 0.750
Pt 0.250 0.750 0.250
Pt 0.750 0.250 0.250
Pt 0.750 0.750 0.750

total energy: -76.07 eV per cell
magnetic moment: 0.0 μB per cell
uncorrected formation energy: -0.37 eV/atom
calculated volume: 16.5 A^3/atom